Record 1
A plane-wave DFT calculation with GGA-PBEsol was carried out for a relaxed SrEu3 crystal.

Calculated values
DOS(E_F), states/eV per atom: 4.75
E_form, eV per formula unit: 0.194

Lattice parameters (Å, degrees): 6.726 6.726 6.726 131.85 131.85 70.46
Sites, in units of the cell vectors:
1 Sr 0.000 0.000 0.000
2 Eu 0.250 0.750 0.500
3 Eu 0.500 0.500 0.000
4 Eu 0.750 0.250 0.500

Record 2
A plane-wave DFT calculation with GGA-PBEsol was carried out for a relaxed SrEu3 crystal.

Calculated values
DOS(E_F), states/eV per atom: 4.02
E_form, eV per formula unit: 0.180

Lattice parameters (Å, degrees): 7.814 7.814 6.306 90.00 90.00 120.00
Sites, in units of the cell vectors:
1 Sr 0.333 0.667 0.250
2 Sr 0.667 0.333 0.750
3 Eu 0.163 0.326 0.750
4 Eu 0.163 0.837 0.750
5 Eu 0.326 0.163 0.250
6 Eu 0.674 0.837 0.750
7 Eu 0.837 0.163 0.250
8 Eu 0.837 0.674 0.250

Record 3
A plane-wave DFT calculation with GGA-PBEsol was carried out for a relaxed EuTl crystal.

Calculated values
DOS(E_F), states/eV per atom: 4.25
E_form, eV per formula unit: -0.975

Lattice parameters (Å, degrees): 3.883 3.883 3.883 90.00 90.00 90.00
Sites, in units of the cell vectors:
1 Eu 0.000 0.000 0.000
2 Tl 0.500 0.500 0.500

Record 4
A plane-wave DFT calculation with GGA-PBEsol was carried out for a relaxed Eu3Tl crystal.

Calculated values
DOS(E_F), states/eV per atom: 2.61
E_form, eV per formula unit: -1.058

Lattice parameters (Å, degrees): 7.125 7.125 5.610 90.00 90.00 120.00
Sites, in units of the cell vectors:
1 Eu 0.174 0.348 0.250
2 Eu 0.174 0.826 0.250
3 Eu 0.348 0.174 0.750
4 Eu 0.652 0.826 0.250
5 Eu 0.826 0.174 0.750
6 Eu 0.826 0.652 0.750
7 Tl 0.333 0.667 0.750
8 Tl 0.667 0.333 0.250

Record 5
A plane-wave DFT calculation with GGA-PBEsol was carried out for a relaxed EuTl2 crystal.

Calculated values
DOS(E_F), states/eV per atom: 3.65
E_form, eV per formula unit: -1.167

Lattice parameters (Å, degrees): 5.023 5.023 7.788 90.00 90.00 120.00
Sites, in units of the cell vectors:
1 Eu 0.000 0.000 0.250
2 Eu 0.000 0.000 0.750
3 Tl 0.333 0.667 0.046
4 Tl 0.333 0.667 0.454
5 Tl 0.667 0.333 0.546
6 Tl 0.667 0.333 0.954

Record 6
A plane-wave DFT calculation with GGA-PBEsol was carried out for a relaxed EuTl3 crystal.

Calculated values
DOS(E_F), states/eV per atom: 2.05
E_form, eV per formula unit: -1.321

Lattice parameters (Å, degrees): 6.833 6.833 5.313 90.00 90.00 120.00
Sites, in units of the cell vectors:
1 Eu 0.333 0.667 0.250
2 Eu 0.667 0.333 0.750
3 Tl 0.163 0.326 0.750
4 Tl 0.163 0.837 0.750
5 Tl 0.326 0.163 0.250
6 Tl 0.674 0.837 0.750
7 Tl 0.837 0.163 0.250
8 Tl 0.837 0.674 0.250

Record 7
A plane-wave DFT calculation with GGA-PBEsol was carried out for a relaxed EuTl3 crystal.

Calculated values
DOS(E_F), states/eV per atom: 1.71
E_form, eV per formula unit: -1.356

Lattice parameters (Å, degrees): 4.748 4.748 4.748 90.00 90.00 90.00
Sites, in units of the cell vectors:
1 Eu 0.000 0.000 0.000
2 Tl 0.000 0.500 0.500
3 Tl 0.500 0.000 0.500
4 Tl 0.500 0.500 0.000

Record 8
A plane-wave DFT calculation with GGA-PBEsol was carried out for a relaxed EuTl2 crystal.

Calculated values
DOS(E_F), states/eV per atom: 2.36
E_form, eV per formula unit: -1.069

Lattice parameters (Å, degrees): 7.748 7.748 4.661 90.00 90.00 143.74
Sites, in units of the cell vectors:
1 Eu 0.159 0.841 0.000
2 Eu 0.841 0.159 0.000
3 Tl 0.000 0.000 0.500
4 Tl 0.332 0.668 0.500
5 Tl 0.500 0.500 0.000
6 Tl 0.668 0.332 0.500

Record 9
A plane-wave DFT calculation with GGA-PBEsol was carried out for a relaxed Eu2TlZn crystal.

Calculated values
DOS(E_F), states/eV per atom: 3.62
E_form, eV per formula unit: -1.446

Lattice parameters (Å, degrees): 5.348 5.348 5.348 60.00 60.00 60.00
Sites, in units of the cell vectors:
1 Eu 0.250 0.250 0.250
2 Eu 0.750 0.750 0.750
3 Tl 0.000 0.000 0.000
4 Zn 0.500 0.500 0.500

Record 10
A plane-wave DFT calculation with GGA-PBEsol was carried out for a relaxed EuZn5 crystal.

Calculated values
DOS(E_F), states/eV per atom: 1.49
E_form, eV per formula unit: -1.638

Lattice parameters (Å, degrees): 5.307 5.307 4.189 90.00 90.00 120.00
Sites, in units of the cell vectors:
1 Eu 0.000 0.000 0.000
2 Zn 0.000 0.500 0.500
3 Zn 0.333 0.667 0.000
4 Zn 0.500 0.000 0.500
5 Zn 0.500 0.500 0.500
6 Zn 0.667 0.333 0.000

Record 11
A plane-wave DFT calculation with GGA-PBEsol was carried out for a relaxed EuZn crystal.

Calculated values
DOS(E_F), states/eV per atom: 2.61
E_form, eV per formula unit: -0.525

Lattice parameters (Å, degrees): 3.657 3.657 3.657 90.00 90.00 90.00
Sites, in units of the cell vectors:
1 Eu 0.000 0.000 0.000
2 Zn 0.500 0.500 0.500

Record 12
A plane-wave DFT calculation with GGA-PBEsol was carried out for a relaxed F crystal.

Calculated values
ΔE_f (raw), eV per atom: 0.423
Distance to the lowest polymorph of the same formula, kJ/mol of atoms: 40.81

Lattice parameters (Å, degrees): 3.403 3.403 3.757 90.00 90.00 120.00
Sites, in units of the cell vectors:
1 F 0.000 0.758 0.167
2 F 0.242 0.242 0.500
3 F 0.758 0.000 0.833

Ρ (computed, Mg/m³): 5.45; 5.41; 10.11; 8.89; 10.94; 11.83; 11.87; 11.25; 8.81; 7.78; 7.38; 2.51